Density functional theory data (PBE-GGA) for a relaxed USnP2Ru5 crystal.

Summary:
Calculated formation energy   -0.439 eV per atom

Unit cell a=4.074 b=4.074 c=8.433 alpha=90.00 beta=90.00 gamma=90.00
Fractional coordinates of all 9 atoms:
1 Ru 0.500 0.000 0.737
2 Ru 0.500 0.500 0.500
3 Ru 0.500 0.000 0.263
4 Ru 0.000 0.500 0.263
5 Ru 0.000 0.500 0.737
6 U 0.000 0.000 0.000
7 P 0.500 0.500 0.136
8 P 0.500 0.500 0.864
9 Sn 0.000 0.000 0.500

***

Density functional theory data (PBE-GGA) for a relaxed Cs2TaNb crystal.

Summary:
Calculated formation energy   1.722 eV per atom

Unit cell a=10.504 b=10.504 c=10.504 alpha=92.95 beta=92.95 gamma=153.76
Fractional coordinates of all 8 atoms:
1 Ta 0.250 0.750 0.500
2 Ta 0.000 0.000 0.000
3 Cs 0.625 0.375 0.250
4 Cs 0.125 0.375 0.750
5 Cs 0.625 0.875 0.250
6 Cs 0.625 0.375 0.750
7 Nb 0.500 0.500 0.000
8 Nb 0.750 0.250 0.500

***

Density functional theory data (PBE-GGA) for a relaxed EuZn4Cu crystal.

Summary:
Calculated formation energy   -0.078 eV per atom

Unit cell a=5.323 b=5.323 c=5.323 alpha=60.00 beta=60.00 gamma=60.00
Fractional coordinates of all 6 atoms:
1 Zn 0.624 0.128 0.624
2 Zn 0.624 0.624 0.624
3 Zn 0.128 0.624 0.624
4 Zn 0.624 0.624 0.128
5 Cu 0.250 0.250 0.250
6 Eu 0.000 0.000 0.000

***

Density functional theory data (PBE-GGA) for a relaxed PmDy2Pu crystal.

Summary:
Calculated formation energy   0.101 eV per atom
ΔE to the lowest computed polymorph   0.0000 eV per atom

Unit cell a=3.519 b=3.519 c=10.055 alpha=90.00 beta=90.00 gamma=90.00
Fractional coordinates of all 4 atoms:
1 Pm 0.500 0.500 0.500
2 Dy 0.000 0.000 0.240
3 Dy 0.000 0.000 0.760
4 Pu 0.500 0.500 0.000

***

Density functional theory data (PBE-GGA) for a relaxed Sr2BeCo2 crystal.

Summary:
Calculated formation energy   0.519 eV per atom
ΔE to the lowest computed polymorph   0.0000 eV per atom

Unit cell a=6.542 b=6.542 c=4.694 alpha=90.00 beta=90.00 gamma=90.00
Fractional coordinates of all 10 atoms:
1 Be 0.500 0.500 0.000
2 Be 0.000 0.000 0.000
3 Sr 0.183 0.683 0.500
4 Sr 0.817 0.317 0.500
5 Sr 0.683 0.817 0.500
6 Sr 0.317 0.183 0.500
7 Co 0.876 0.624 0.000
8 Co 0.624 0.124 0.000
9 Co 0.376 0.876 0.000
10 Co 0.124 0.376 0.000

***

Density functional theory data (PBE-GGA) for a relaxed PmIn2Te3 crystal.

Summary:
ΔE_f (raw)   -616.3 meV per atom

Unit cell a=4.268 b=9.851 c=9.515 alpha=80.29 beta=90.00 gamma=90.00
Fractional coordinates of all 12 atoms:
1 In 0.750 0.655 0.531
2 In 0.750 0.114 0.957
3 In 0.250 0.886 0.043
4 In 0.250 0.345 0.469
5 Te 0.250 0.916 0.346
6 Te 0.750 0.698 0.934
7 Te 0.750 0.506 0.292
8 Te 0.750 0.084 0.654
9 Te 0.250 0.494 0.708
10 Te 0.250 0.302 0.066
11 Pm 0.250 0.834 0.700
12 Pm 0.750 0.166 0.300

***

Please write out number 2 again, unchanged.
Density functional theory data (PBE-GGA) for a relaxed Cs2TaNb crystal.

Summary:
Calculated formation energy   1.722 eV per atom

Unit cell a=10.504 b=10.504 c=10.504 alpha=92.95 beta=92.95 gamma=153.76
Fractional coordinates of all 8 atoms:
1 Ta 0.250 0.750 0.500
2 Ta 0.000 0.000 0.000
3 Cs 0.625 0.375 0.250
4 Cs 0.125 0.375 0.750
5 Cs 0.625 0.875 0.250
6 Cs 0.625 0.375 0.750
7 Nb 0.500 0.500 0.000
8 Nb 0.750 0.250 0.500